[1]
Below is a relaxed structure of La5Tb4Th4, with properties calculated at the PBE-GGA level. Values from VASP.

Computed properties:
- Magnetization: 0.000 μB per cell
- DOS at the Fermi energy: 20.4 states/eV/cell
- Energy relative to the elements: 4 kJ per mole of atoms
- Crystal system: tetragonal

The structure in Quantum ESPRESSO input format:
```
&SYSTEM
  ibrav = 0, nat = 13, ntyp = 3
/
ATOMIC_SPECIES
La 138.91 La.upf
Tb 158.93 Tb.upf
Th 232.04 Th.upf
CELL_PARAMETERS angstrom
4.9357 0.0000 1.2549
2.4678 9.2978 0.6275
0.1767 0.0000 9.6385
ATOMIC_POSITIONS angstrom
La 5.6549 7.7881 8.7597
La 1.9253 1.5097 2.7612
La 0.0000 0.0000 0.0000
La 4.5637 7.0961 2.7180
La 3.0166 2.2016 8.8029
Tb 4.7460 3.6442 2.0010
Tb 2.8343 5.6536 9.5199
Tb 6.5055 8.5279 5.4142
Tb 1.0747 0.7698 6.1067
Th 5.8330 4.2798 8.0595
Th 3.8811 2.9241 5.4027
Th 1.7473 5.0180 3.4614
Th 3.6992 6.3736 6.1182
```

[2]
Below is a relaxed structure of KTc2Ir, with properties calculated at the PBE-GGA level. Values from VASP.

Computed properties:
- Magnetization: 0.000 μB per cell
- DOS at the Fermi energy: 3.0 states/eV/cell
- Energy relative to the elements: 82 kJ per mole of atoms
- Crystal system: orthorhombic
- Energy above the lowest structure with this stoichiometry: 1.010 eV per formula unit

The structure in Quantum ESPRESSO input format:
```
&SYSTEM
  ibrav = 0, nat = 4, ntyp = 3
/
ATOMIC_SPECIES
Ir 192.22 Ir.upf
K 39.10 K.upf
Tc 98.00 Tc.upf
CELL_PARAMETERS angstrom
2.7165 0.0152 0.0000
-1.2248 2.4248 0.0000
0.0000 0.0000 10.5904
ATOMIC_POSITIONS angstrom
Ir 0.7459 1.2200 2.6476
K 0.7459 1.2200 7.9428
Tc 0.0000 0.0000 0.3793
Tc 0.0000 0.0000 4.9159
```

[3]
Below is a relaxed structure of Nd3TmTh2As6, with properties calculated at the PBE-GGA level. Values from VASP.

Computed properties:
- Magnetization: 0.000 μB per cell
- DOS at the Fermi energy: 4.1 states/eV/cell
- Energy relative to the elements: -143 kJ per mole of atoms
- Crystal system: monoclinic

The structure in Quantum ESPRESSO input format:
```
&SYSTEM
  ibrav = 0, nat = 12, ntyp = 4
/
ATOMIC_SPECIES
Nd 144.24 Nd.upf
Tm 168.93 Tm.upf
Th 232.04 Th.upf
As 74.92 As.upf
CELL_PARAMETERS angstrom
-3.6681 -0.9288 -1.9136
4.1193 -1.2470 -7.2908
1.8838 -7.8826 4.9130
ATOMIC_POSITIONS angstrom
Nd 0.2256 -1.0879 -4.6022
Nd -1.1187 -6.2399 0.4752
Nd 3.4535 -3.8185 -4.7666
Tm -1.8341 -0.4644 -0.9568
Th 0.9600 -6.9011 -3.1884
Th 1.3749 -3.1573 -1.1030
As 3.8111 -6.7674 -4.0206
As 0.5771 -3.9901 -3.8675
As -1.4762 -3.2910 -0.2708
As 0.9925 -0.3025 -1.7557
As 1.3424 -9.7559 -2.5357
As 1.7577 -6.0683 -0.4239
```

[4]
Below is a relaxed structure of ZrPtI2O, with properties calculated at the PBE-GGA level. Values from VASP.

Computed properties:
- Magnetization: 0.000 μB per cell
- DOS at the Fermi energy: 4.1 states/eV/cell
- Energy relative to the elements, uncorrected: -2.445 eV per formula unit
- Crystal system: tetragonal
- Energy above the lowest structure with this stoichiometry: 0.000 eV per formula unit

The structure in Quantum ESPRESSO input format:
```
&SYSTEM
  ibrav = 0, nat = 5, ntyp = 4
/
ATOMIC_SPECIES
I 126.90 I.upf
O 16.00 O.upf
Zr 91.22 Zr.upf
Pt 195.08 Pt.upf
CELL_PARAMETERS angstrom
-3.4349 4.0909 2.1760
1.7249 -1.3850 5.3268
2.9521 2.6243 -0.2736
ATOMIC_POSITIONS angstrom
I 0.8625 -0.6925 2.6634
I -1.7175 2.0454 1.0880
O 1.4760 1.3121 -0.1368
Zr 0.0000 0.0000 0.0000
Pt 0.6211 2.6651 3.6146
```